(1)
First-principles (PBE-GGA) data for crystalline TmNpPd6 at its relaxed geometry, as listed in Alexandria.

As for the space group: No. 123. The density of states at the Fermi level is 13.442 states/eV/f.u. The calculation puts the electronic total energy at -54.2 eV per formula unit. Its total magnetic moment is 3.01 Bohr magnetons per cell. The volume is 139 Å³ per cell.

Cell: 4.111 4.111 8.231 Å, 90.00 90.00 90.00°
Positions (direct):
1 Tm 0.000 0.000 0.000
2 Np 0.000 0.000 0.500
3 Pd 0.000 0.500 0.251
4 Pd 0.000 0.500 0.749
5 Pd 0.500 0.000 0.251
6 Pd 0.500 0.000 0.749
7 Pd 0.500 0.500 0.000
8 Pd 0.500 0.500 0.500

=====

(2)
First-principles (PBE-GGA) data for crystalline Mg3Si2O9 at its relaxed geometry, as listed in Alexandria.

As for the space group: No. 173. The calculation puts the raw formation energy at -28.0 eV/f.u. The excess energy over the best structure of this formula in the dataset is 0.070 eV/atom. The density of states at the Fermi level is 5.189 states/eV/f.u. The calculation puts the electronic total energy at -88.3 eV per formula unit. Its total magnetic moment is 8.00 Bohr magnetons per cell. The volume is 380 Å³ per cell.

Cell: 5.413 5.413 14.956 Å, 90.00 90.00 120.00°
Positions (direct):
1 Mg 0.023 0.690 0.000
2 Mg 0.310 0.333 0.000
3 Mg 0.333 0.023 0.500
4 Mg 0.667 0.977 0.000
5 Mg 0.690 0.667 0.500
6 Mg 0.977 0.310 0.500
7 Si 0.000 0.000 0.189
8 Si 0.000 0.000 0.689
9 Si 0.333 0.667 0.189
10 Si 0.667 0.333 0.689
11 O 0.000 0.000 0.078
12 O 0.000 0.000 0.578
13 O 0.027 0.667 0.439
14 O 0.165 0.832 0.224
15 O 0.168 0.333 0.224
16 O 0.333 0.165 0.724
17 O 0.333 0.361 0.439
18 O 0.333 0.667 0.079
19 O 0.333 0.667 0.551
20 O 0.361 0.027 0.939
21 O 0.639 0.973 0.439
22 O 0.667 0.333 0.051
23 O 0.667 0.333 0.579
24 O 0.667 0.639 0.939
25 O 0.667 0.835 0.224
26 O 0.832 0.667 0.724
27 O 0.835 0.168 0.724
28 O 0.973 0.333 0.939

=====

(3)
First-principles (PBE-GGA) data for crystalline TcGeAs2Se at its relaxed geometry, as listed in Alexandria.

As for the space group: No. 123. The calculation puts the raw formation energy at 6.0 eV/f.u. The excess energy over the best structure of this formula in the dataset is 0.670 eV/atom. The density of states at the Fermi level is 3.740 states/eV/f.u. The calculation puts the electronic total energy at -21.8 eV per formula unit. Its total magnetic moment is 2.96 Bohr magnetons per cell. The volume is 117 Å³ per cell.

Cell: 4.884 4.884 4.925 Å, 90.00 90.00 90.00°
Positions (direct):
1 Tc 0.000 0.000 0.000
2 Ge 0.500 0.500 0.500
3 As 0.000 0.500 0.500
4 As 0.500 0.000 0.500
5 Se 0.500 0.500 0.000

=====

(4)
First-principles (PBE-GGA) data for crystalline NaRePd at its relaxed geometry, as listed in Alexandria.

As for the space group: No. 3. The excess energy over the best structure of this formula in the dataset is 0.114 eV/atom. The density of states at the Fermi level is 1.725 states/eV/f.u. The calculation puts the electronic total energy at -17.9 eV per formula unit. Its total magnetic moment is 0.00 Bohr magnetons per cell. The volume is 102 Å³ per cell.

Cell: 4.978 2.720 7.713 Å, 90.00 103.06 90.00°
Positions (direct):
1 Na 0.000 0.000 0.000
2 Na 0.500 0.500 0.000
3 Re 0.186 0.999 0.627
4 Re 0.814 0.999 0.373
5 Pd 0.306 0.498 0.336
6 Pd 0.694 0.498 0.664

=====

(5)
First-principles (PBE-GGA) data for crystalline Cs2SrSnI6 at its relaxed geometry, as listed in Alexandria.

As for the space group: No. 14. The calculation puts the raw formation energy at -12.9 eV/f.u. The excess energy over the best structure of this formula in the dataset is 0.000 eV/atom. The density of states at the Fermi level is 0.000 states/eV/f.u. The calculation puts the electronic total energy at -29.6 eV per formula unit. Its total magnetic moment is 0.00 Bohr magnetons per cell. The volume is 1004 Å³ per cell.

Cell: 8.741 9.103 15.317 Å, 90.00 124.53 90.00°
Positions (direct):
1 Cs 0.227 0.070 0.249
2 Cs 0.227 0.430 0.749
3 Cs 0.773 0.570 0.251
4 Cs 0.773 0.930 0.751
5 Sr 0.500 0.000 0.000
6 Sr 0.500 0.500 0.500
7 Sn 0.000 0.000 0.500
8 Sn 0.000 0.500 0.000
9 I 0.153 0.206 0.958
10 I 0.153 0.294 0.458
11 I 0.256 0.699 0.958
12 I 0.256 0.801 0.458
13 I 0.330 0.013 0.746
14 I 0.330 0.487 0.246
15 I 0.670 0.513 0.754
16 I 0.670 0.987 0.254
17 I 0.744 0.199 0.542
18 I 0.744 0.301 0.042
19 I 0.847 0.706 0.542
20 I 0.847 0.794 0.042

=====

(6)
First-principles (PBE-GGA) data for crystalline Tm3AlZn2 at its relaxed geometry, as listed in Alexandria.

As for the space group: No. 164. The density of states at the Fermi level is 4.292 states/eV/f.u. The calculation puts the electronic total energy at -21.9 eV per formula unit. Its total magnetic moment is 0.00 Bohr magnetons per cell. The volume is 265 Å³ per cell.

Cell: 4.996 4.996 12.258 Å, 90.00 90.00 120.00°
Positions (direct):
1 Tm 0.000 0.000 0.248
2 Tm 0.000 0.000 0.752
3 Tm 0.333 0.667 0.417
4 Tm 0.333 0.667 0.919
5 Tm 0.667 0.333 0.081
6 Tm 0.667 0.333 0.583
7 Al 0.333 0.667 0.667
8 Al 0.667 0.333 0.333
9 Zn 0.000 0.000 0.000
10 Zn 0.000 0.000 0.500
11 Zn 0.333 0.667 0.168
12 Zn 0.667 0.333 0.832

=====

What is the volume in the fourth record?
102 Å³ per cell

=====

volume of number 3 (TcGeAs2Se)?
117 Å³ per cell